# 1
A PBEsol-optimized structure of IrPdRhN2, computed with SCAN.

Geometry as POSCAR:
```
IrPdRhN2
1.0
3.692 0.000 0.000
0.000 3.692 0.000
0.000 0.000 5.073
Pd Rh Ir N
1 1 1 2
Direct
0.000 0.000 0.500
0.000 0.000 0.000
0.500 0.500 0.500
0.500 0.000 0.000
0.000 0.500 0.000
```

E = -148.0 eV for the cell shown
E_form (uncorrected) = 1647 meV per atom
DOS(E_F) = 4.7 states/eV/cell


# 2
A PBEsol-optimized structure of Sr2TaSb, computed with SCAN.

Geometry as POSCAR:
```
Sr2TaSb
1.0
-2.155 -1.559 -2.108
3.332 -0.098 -3.333
2.185 -6.220 2.366
Sb Sr Ta
1 2 1
Direct
0.500 0.500 0.500
0.000 0.000 0.254
0.000 0.000 0.746
0.500 0.500 0.000
```

E = -146.9 eV for the cell shown
E_form (uncorrected) = 376 meV per atom
DOS(E_F) = 2.9 states/eV/cell


# 3
A PBEsol-optimized structure of Si2P, computed with SCAN.

Geometry as POSCAR:
```
Si2P
1.0
-1.714 -2.518 0.152
1.999 -1.244 1.938
-2.429 3.647 2.447
P Si
1 2
Direct
0.000 0.000 0.000
0.654 0.654 0.308
0.346 0.346 0.692
```

E = -28.5 eV for the cell shown
E_form (uncorrected) = 641 meV per atom
Offset from the most stable computed form = 0.91 eV per formula unit
DOS(E_F) = 1.0 states/eV/cell


# 4
A PBEsol-optimized structure of NbTe4, computed with SCAN.

Geometry as POSCAR:
```
NbTe4
1.0
6.488 0.000 0.000
0.000 6.488 0.000
0.000 0.000 6.782
Te Nb
8 2
Direct
0.674 0.146 0.000
0.146 0.326 0.000
0.854 0.326 0.500
0.326 0.854 0.000
0.674 0.854 0.500
0.146 0.674 0.500
0.854 0.674 0.000
0.326 0.146 0.500
0.000 0.000 0.750
0.000 0.000 0.250
```

E = -367.7 eV for the cell shown
E_form (uncorrected) = -340 meV per atom
Offset from the most stable computed form = 0.10 eV per formula unit
DOS(E_F) = 3.0 states/eV/cell